Below is a relaxed structure of Li5F6, with properties calculated at the GGA-PBE level.

Calculated values
- E_tot (eV per atom) = -4.5154
- mass density (g/cm³) = 2.39
- formation energy from raw total energies (eV/atom) = -2.62

CIF file:
```
data_Li5F6
_cell_length_a 5.048
_cell_length_b 8.811
_cell_length_c 4.960
_cell_angle_alpha 90.00
_cell_angle_beta 110.50
_cell_angle_gamma 90.00
_space_group_name_H-M_alt 'C 1 2/m 1'
_space_group_IT_number 12
loop_
_space_group_symop_operation_xyz
'x,y,z'
'-x,-y,-z'
'-x,y,-z'
'x,-y,z'
'x+1/2,y+1/2,z'
'-x+1/2,-y+1/2,-z'
'-x+1/2,y+1/2,-z'
'x+1/2,-y+1/2,z'
loop_
_atom_site_label
_atom_site_fract_x
_atom_site_fract_y
_atom_site_fract_z
_atom_site_occupancy
Li1 0.000 0.000 0.000 1
Li2 0.000 0.164 0.500 1
Li3 0.000 0.346 0.000 1
F1 0.235 0.000 0.762 1
F2 0.236 0.177 0.239 1
```